1.
First-principles (PBE) data for an optimized crystal structure of Hf6ReSn, as listed in Alexandria via LeMat-Bulk.

a = 8.0796 Å, b = 7.6244 Å, c = 5.5559 Å
α = 46.64°, β = 43.30°, γ = 57.96°
Last column: nearest neighbours and their distance in Å.
Fractional coordinates of all 8 atoms:
Hf 0.9835 0.5551 0.2219  1 Re 2.75, 2 Hf 2.78-2.92
Re 0.0000 0.0000 0.0000  6 Hf 2.74-2.75
Sn 0.5000 0.5000 0.5000  12 Hf 3.12-3.15
Hf 0.2394 0.0157 0.3000  1 Re 2.75, 2 Hf 2.77-2.91
Hf 0.5551 0.2394 0.1893  1 Re 2.74, 2 Hf 2.78-2.92
Hf 0.0165 0.4449 0.7781  1 Re 2.75, 2 Hf 2.78-2.92
Hf 0.7606 0.9843 0.7000  1 Re 2.75, 2 Hf 2.77-2.91
Hf 0.4449 0.7606 0.8107  1 Re 2.74, 2 Hf 2.78-2.92

Summary:
Fermi-level density of states = 7.3 states/eV per cell
Formation energy from the elements = -0.144 eV per atom
Space group = R-3, No. 148
Total moment = 0.0 μB per cell
Total DFT energy (no corrections) = -9.665 eV/atom
Crystal system = trigonal

***

2.
First-principles (PBE) data for an optimized crystal structure of CaCoH3, as listed in Alexandria via LeMat-Bulk.

a = 4.0214 Å, b = 4.0214 Å, c = 4.0214 Å
α = 90.00°, β = 90.00°, γ = 90.00°
Last column: nearest neighbours and their distance in Å.
Fractional coordinates of all 5 atoms:
H 0.5000 0.0000 0.0000  2 Ca 2.01
Ca 0.0000 0.0000 0.0000  6 H 2.01
H 0.0000 0.0000 0.5000  2 Ca 2.01
Co 0.5000 0.5000 0.5000  12 H 2.84
H 0.0000 0.5000 0.0000  2 Ca 2.01

Summary:
Fermi-level density of states = 2.2 states/eV per cell
Space group = Pm-3m, No. 221
Total moment = 2.2 μB per cell
Total DFT energy (no corrections) = -3.141 eV/atom
Crystal system = cubic

***

3.
First-principles (PBE) data for an optimized crystal structure of Ho5IrRu2, as listed in Alexandria via LeMat-Bulk.

a = 7.2319 Å, b = 7.2319 Å, c = 8.7122 Å
α = 114.52°, β = 114.52°, γ = 90.00°
Last column: nearest neighbours and their distance in Å.
Fractional coordinates of all 16 atoms:
Ho 0.9672 0.4672 0.2873  3 Ru 2.87-3.00, 2 Ir 3.06
Ho 0.0328 0.5328 0.7127  3 Ru 2.87-3.00, 2 Ir 3.06
Ir 0.7500 0.7500 0.5000  8 Ho 3.06
Ho 0.6799 0.1799 0.7127  3 Ru 2.87-3.00, 2 Ir 3.06
Ir 0.2500 0.2500 0.5000  8 Ho 3.06
Ho 0.5328 0.6799 0.7127  3 Ru 2.87-3.00, 2 Ir 3.06
Ho 0.8201 0.9672 0.2873  3 Ru 2.87-3.00, 2 Ir 3.06
Ru 0.8757 0.6243 0.0000  1 Ru 2.54
Ru 0.6243 0.1243 0.0000  1 Ru 2.54
Ho 0.3201 0.8201 0.2873  3 Ru 2.87-3.00, 2 Ir 3.06
Ru 0.3757 0.8757 0.0000  1 Ru 2.54
Ho 0.5000 0.5000 0.0000  4 Ru 2.86
Ho 0.0000 0.0000 0.0000  4 Ru 2.86
Ho 0.1799 0.0328 0.7127  3 Ru 2.87-3.00, 2 Ir 3.06
Ho 0.4672 0.3201 0.2873  3 Ru 2.87-3.00, 2 Ir 3.06
Ru 0.1243 0.3757 0.0000  1 Ru 2.54

Summary:
Fermi-level density of states = 8.7 states/eV per cell
Formation energy from the elements = -0.503 eV per atom
Space group = I4/mcm, No. 140
Total moment = 0.0 μB per cell
Total DFT energy (no corrections) = -6.791 eV/atom
Crystal system = tetragonal

***

4.
First-principles (PBE) data for an optimized crystal structure of MnAg3S, as listed in Alexandria via LeMat-Bulk.

a = 4.8581 Å, b = 4.8581 Å, c = 4.8581 Å
α = 90.00°, β = 90.00°, γ = 90.00°
Last column: nearest neighbours and their distance in Å.
Fractional coordinates of all 5 atoms:
Ag 0.5000 0.0000 0.0000  2 S 2.43
Ag 0.0000 0.5000 0.0000  2 S 2.43
Mn 0.5000 0.5000 0.5000  12 Ag 3.44
Ag 0.0000 0.0000 0.5000  2 S 2.43
S 0.0000 0.0000 0.0000  6 Ag 2.43

Summary:
E_form (uncorrected) = 0.67 eV/atom
Fermi-level density of states = 4.1 states/eV per cell
Space group = Pm-3m, No. 221
Offset from the most stable computed form = 0.0 meV per atom
Total moment = 4.5 μB per cell
Total DFT energy (no corrections) = -3.701 eV/atom
Crystal system = cubic

***

5.
First-principles (PBE) data for an optimized crystal structure of K2YCd, as listed in Alexandria via LeMat-Bulk.

a = 3.9215 Å, b = 3.9215 Å, c = 11.4391 Å
α = 90.00°, β = 90.00°, γ = 90.00°
Last column: nearest neighbours and their distance in Å.
Fractional coordinates of all 4 atoms:
Cd 0.5000 0.5000 0.7057  4 Y 3.14
K 0.0000 0.0000 0.9279  4 Cd 3.76, 4 K 3.92, 1 Y 4.01
Y 0.0000 0.0000 0.5777  4 Cd 3.14
K 0.5000 0.5000 0.2887  4 K 3.92, 4 Y 4.31

Summary:
Fermi-level density of states = 2.6 states/eV per cell
Formation energy from the elements = 0.066 eV per atom
Space group = P4mm, No. 99
Total moment = 0.1 μB per cell
Total DFT energy (no corrections) = -2.328 eV/atom
Crystal system = tetragonal

***

6.
First-principles (PBE) data for an optimized crystal structure of BaTa2Mn, as listed in Alexandria via LeMat-Bulk.

a = 4.0517 Å, b = 4.0517 Å, c = 7.3732 Å
α = 74.07°, β = 74.07°, γ = 60.00°
Last column: nearest neighbours and their distance in Å.
Fractional coordinates of all 4 atoms:
Ta 0.4571 0.4571 0.6284  3 Mn 2.49
Ba 0.2500 0.2500 0.2500  6 Ta 3.53
Mn 0.7500 0.7500 0.7500  6 Ta 2.49
Ta 0.0429 0.0429 0.8716  3 Mn 2.49

Summary:
Fermi-level density of states = 5.4 states/eV per cell
Formation energy from the elements = 0.573 eV per atom
Space group = R-3m, No. 166
Offset from the most stable computed form = 0.0 meV per atom
Total moment = 0.0 μB per cell
Total DFT energy (no corrections) = -8.127 eV/atom
Crystal system = trigonal

***

7.
First-principles (PBE) data for an optimized crystal structure of Pd, as listed in Alexandria via LeMat-Bulk.

a = 2.7911 Å, b = 2.7911 Å, c = 2.7911 Å
α = 60.00°, β = 60.00°, γ = 60.00°
Last column: nearest neighbours and their distance in Å.
Fractional coordinates of all 1 atoms:
Pd 0.0000 0.0000 0.0000  12 Pd 2.79

Summary:
Fermi-level density of states = 2.5 states/eV per cell
Formation energy from the elements = 0.000 eV per atom
Space group = Fm-3m, No. 225
Offset from the most stable computed form = 0.0 meV per atom
Total moment = 0.0 μB per cell
Total DFT energy (no corrections) = -5.193 eV/atom
Crystal system = cubic

***

8.
First-principles (PBE) data for an optimized crystal structure of KTc2Ni2, as listed in Alexandria via LeMat-Bulk.

a = 3.7451 Å, b = 3.7451 Å, c = 7.3650 Å
α = 75.27°, β = 75.27°, γ = 90.00°
Last column: nearest neighbours and their distance in Å.
Fractional coordinates of all 5 atoms:
K 0.0000 0.0000 0.0000  8 Ni 3.22
Tc 0.2500 0.7500 0.5000  4 Ni 2.47, 4 Tc 2.65
Tc 0.7500 0.2500 0.5000  4 Ni 2.47, 4 Tc 2.65
Ni 0.3667 0.3667 0.2665  4 Tc 2.47
Ni 0.6333 0.6333 0.7335  4 Tc 2.47

Summary:
Fermi-level density of states = 4.2 states/eV per cell
Formation energy from the elements = 0.741 eV per atom
Space group = I4/mmm, No. 139
Offset from the most stable computed form = 187.0 meV per atom
Total moment = 0.0 μB per cell
Total DFT energy (no corrections) = -5.938 eV/atom
Crystal system = tetragonal

***

9.
First-principles (PBE) data for an optimized crystal structure of CaMn2Ru, as listed in Alexandria via LeMat-Bulk.

a = 2.7453 Å, b = 4.0509 Å, c = 6.0025 Å
α = 90.00°, β = 90.00°, γ = 90.00°
Last column: nearest neighbours and their distance in Å.
Fractional coordinates of all 4 atoms:
Ru 0.5000 0.5000 0.2500  8 Mn 2.63, 2 Ru 2.75
Mn 0.0000 0.0000 0.4103  1 Mn 1.92
Mn 0.0000 0.0000 0.0897  1 Mn 1.92
Ca 0.5000 0.5000 0.7500  2 Ca 2.75, 2 Ru 3.00

Summary:
Fermi-level density of states = 4.6 states/eV per cell
Formation energy from the elements = 0.573 eV per atom
Space group = Pmmm, No. 47
Offset from the most stable computed form = 253.6 meV per atom
Total moment = 0.0 μB per cell
Total DFT energy (no corrections) = -6.831 eV/atom
Crystal system = orthorhombic

***

10.
First-principles (PBE) data for an optimized crystal structure of TcPbBr2, as listed in Alexandria via LeMat-Bulk.

a = 5.1634 Å, b = 5.1634 Å, c = 3.7615 Å
α = 90.00°, β = 90.00°, γ = 90.06°
Last column: nearest neighbours and their distance in Å.
Fractional coordinates of all 4 atoms:
Br 0.0000 0.0000 0.0000  4 Pb 3.19, 4 Tc 3.19
Pb 0.5000 0.0000 0.5000  8 Br 3.19
Br 0.5000 0.5000 0.0000  4 Tc 3.19, 4 Pb 3.19
Tc 0.0000 0.5000 0.5000  8 Br 3.19

Summary:
E_form (uncorrected) = 0.59 eV/atom
Fermi-level density of states = 2.4 states/eV per cell
Space group = Cmmm, No. 65
Offset from the most stable computed form = 569.0 meV per atom
Total moment = 3.3 μB per cell
Total DFT energy (no corrections) = -3.769 eV/atom
Crystal system = orthorhombic